(i)
This record from Alexandria describes a geometry-optimized Fe3NiOs structure. The functional is PBE.

Output
N(E_F), states/eV per cell: 8.25
Total magnetic moment, μB per atom: 1.1871

Unit cell a=4.4365 b=4.4365 c=4.4365 alpha=90.00 beta=90.00 gamma=90.00
Positions (direct):
Fe: 0.0000 0.0000 0.5000
Fe: 0.0000 0.5000 0.0000
Fe: 0.5000 0.0000 0.0000
Ni: 0.5000 0.5000 0.5000
Os: 0.0000 0.0000 0.0000

(ii)
This record from Alexandria describes a geometry-optimized Fe3NiOs structure. The functional is PBE.

Output
N(E_F), states/eV per cell: 6.14
Total magnetic moment, μB per atom: 2.1489

Unit cell a=4.2163 b=4.2163 c=4.2163 alpha=90.00 beta=90.00 gamma=90.00
Positions (direct):
Fe: 0.0000 0.0000 0.5000
Fe: 0.0000 0.5000 0.0000
Fe: 0.5000 0.0000 0.0000
Ni: 0.0000 0.0000 0.0000
Os: 0.5000 0.5000 0.5000

Stability check: which of them is least stable? (i).

(i)
This record from Alexandria describes a geometry-optimized Fe2Ni2Os structure. The functional is PBE.

Output
N(E_F), states/eV per cell: 11.39
Total magnetic moment, μB per atom: 1.3231

Unit cell a=6.8930 b=6.8930 c=2.5555 alpha=90.00 beta=90.00 gamma=90.00
Positions (direct):
Fe: 0.1216 0.3784 0.0000
Fe: 0.3784 0.8784 0.0000
Fe: 0.6216 0.1216 0.0000
Fe: 0.8784 0.6216 0.0000
Ni: 0.1761 0.6761 0.5000
Ni: 0.3239 0.1761 0.5000
Ni: 0.6761 0.8239 0.5000
Ni: 0.8239 0.3239 0.5000
Os: 0.0000 0.0000 0.0000
Os: 0.5000 0.5000 0.0000

(ii)
This record from Alexandria describes a geometry-optimized Fe2Ni2Os structure. The functional is PBE.

Output
N(E_F), states/eV per cell: 21.49
Total magnetic moment, μB per atom: 0.0000

Unit cell a=6.6326 b=6.6326 c=2.6035 alpha=90.00 beta=90.00 gamma=90.00
Positions (direct):
Fe: 0.1740 0.3260 0.0000
Fe: 0.3260 0.8260 0.0000
Fe: 0.6740 0.1740 0.0000
Fe: 0.8260 0.6740 0.0000
Ni: 0.1246 0.6246 0.5000
Ni: 0.3754 0.1246 0.5000
Ni: 0.6246 0.8754 0.5000
Ni: 0.8754 0.3754 0.5000
Os: 0.0000 0.0000 0.5000
Os: 0.5000 0.5000 0.5000

Stability check: which of them is least stable? (ii).

(i)
This record from Alexandria describes a geometry-optimized FeNiP3 structure. The functional is PBE.

Output
N(E_F), states/eV per cell: 9.18
Total magnetic moment, μB per atom: 0.0000

Unit cell a=5.6487 b=5.6487 c=9.5272 alpha=90.16 beta=90.16 gamma=118.27
Positions (direct):
Fe: 0.0097 0.9903 0.7500
Fe: 0.2835 0.7165 0.7500
Fe: 0.7165 0.2835 0.2500
Fe: 0.9903 0.0097 0.2500
Ni: 0.3483 0.6435 0.0058
Ni: 0.3565 0.6517 0.4942
Ni: 0.6435 0.3483 0.5058
Ni: 0.6517 0.3565 0.9942
P: 0.0042 0.3069 0.4013
P: 0.0041 0.6603 0.1336
P: 0.3069 0.0042 0.9013
P: 0.3397 0.9959 0.3664
P: 0.3577 0.3625 0.6662
P: 0.3625 0.3577 0.1662
P: 0.6375 0.6423 0.8338
P: 0.6423 0.6375 0.3338
P: 0.6603 0.0041 0.6336
P: 0.6931 0.9958 0.0987
P: 0.9959 0.3397 0.8664
P: 0.9958 0.6931 0.5987

(ii)
This record from Alexandria describes a geometry-optimized FeNiP3 structure. The functional is PBE.

Output
N(E_F), states/eV per cell: 3.55
Total magnetic moment, μB per atom: 0.0000

Unit cell a=4.2828 b=4.2828 c=4.2828 alpha=90.00 beta=90.00 gamma=90.00
Positions (direct):
Fe: 0.0000 0.0000 0.0000
Ni: 0.5000 0.5000 0.5000
P: 0.0000 0.0000 0.5000
P: 0.0000 0.5000 0.0000
P: 0.5000 0.0000 0.0000

Stability check: which of them is least stable? (ii).

(i)
This record from Alexandria describes a geometry-optimized Fe3NiP structure. The functional is PBE.

Output
N(E_F), states/eV per cell: 6.11
Total magnetic moment, μB per atom: 2.0042

Unit cell a=4.3040 b=4.3040 c=4.3040 alpha=90.00 beta=90.00 gamma=90.00
Positions (direct):
Fe: 0.0000 0.0000 0.5000
Fe: 0.0000 0.5000 0.0000
Fe: 0.5000 0.0000 0.0000
Ni: 0.0000 0.0000 0.0000
P: 0.5000 0.5000 0.5000

(ii)
This record from Alexandria describes a geometry-optimized Fe3NiP structure. The functional is PBE.

Output
N(E_F), states/eV per cell: 6.02
Total magnetic moment, μB per atom: 1.4729

Unit cell a=4.1341 b=4.1341 c=4.1341 alpha=90.00 beta=90.00 gamma=90.00
Positions (direct):
Fe: 0.0000 0.0000 0.5000
Fe: 0.0000 0.5000 0.0000
Fe: 0.5000 0.0000 0.0000
Ni: 0.5000 0.5000 0.5000
P: 0.0000 0.0000 0.0000

Stability check: which of them is least stable? (i).